Density functional theory data (GGA-PBE) for a relaxed structure of SeSBr2.

- distance to the lowest polymorph of the same formula (meV per atom) = 0
- raw formation energy (meV/atom) = -7
- space-group type = Pmn2_1

a = 5.211 Å, b = 9.522 Å, c = 6.920 Å
α = 90.00°, β = 90.00°, γ = 90.00°
Fractional coordinates of all 8 atoms:
Se: 0.750 0.229 0.309
Se: 0.250 0.729 0.691
S: 0.250 0.687 0.988
S: 0.750 0.187 0.012
Br: 0.250 0.193 0.411
Br: 0.750 0.693 0.589
Br: 0.250 0.891 0.159
Br: 0.750 0.391 0.841